(1)
# ReSiCl2 (PBE-GGA, optimized geometry)
# V (Å³ per atom): 16.73
data_ReSiCl2
_chemical_formula_sum 'Re2 Si2 Cl4'
_symmetry_space_group_name_H-M 'C m m m'
_symmetry_Int_Tables_number 65
_symmetry_space_group_name_Hall '-C 2 2'
_cell_length_a 5.8167
_cell_length_b 8.1137
_cell_length_c 2.8353
_cell_angle_alpha 90.00
_cell_angle_beta 90.00
_cell_angle_gamma 90.00
loop_
_atom_site_label
_atom_site_type_symbol
_atom_site_fract_x
_atom_site_fract_y
_atom_site_fract_z
_atom_site_occupancy
Re1 Re 0.0000 0.0000 0.0000 1
Si1 Si 0.0000 0.5000 0.0000 1
Cl1 Cl 0.2500 0.2500 0.5000 1


(2)
# ReSiCl2 (PBE-GGA, optimized geometry)
# V (Å³ per atom): 21.75
data_ReSiCl2
_chemical_formula_sum 'Re1 Si1 Cl2'
_symmetry_space_group_name_H-M 'P 1 m 1'
_symmetry_Int_Tables_number 6
_symmetry_space_group_name_Hall 'P -2y'
_cell_length_a 3.1007
_cell_length_b 3.1006
_cell_length_c 9.0512
_cell_angle_alpha 90.00
_cell_angle_beta 90.53
_cell_angle_gamma 90.00
loop_
_atom_site_label
_atom_site_type_symbol
_atom_site_fract_x
_atom_site_fract_y
_atom_site_fract_z
_atom_site_occupancy
Re1 Re 0.0000 0.0000 0.0000 1
Si1 Si 0.4963 0.5000 0.8648 1
Cl1 Cl 0.0067 0.0000 0.2471 1
Cl2 Cl 0.4900 0.5000 0.6379 1


no.,polymorph energy (0 for the lowest one) (meV/atom)
1,1358.8
2,0.0